No. 1
Density functional theory data (PBE) for a relaxed structure of Pm8Nd5Sm. Values from VASP.

Calculated formation energy, meV/atom: 228
Uncorrected energy, Ry/atom: -0.333
Space-group type: I-4, No. 82

Cell and atoms, written as Quantum ESPRESSO input:
```
&SYSTEM
  ibrav = 0, nat = 14, ntyp = 3
/
ATOMIC_SPECIES
Pm 145.00 Pm.upf
Nd 144.24 Nd.upf
Sm 150.36 Sm.upf
ATOMIC_POSITIONS angstrom
Pm 1.778 -0.801 2.540
Pm 3.104 5.683 -2.642
Pm 0.693 3.172 1.040
Pm 4.081 3.104 2.642
Pm -0.693 6.592 1.040
Pm -1.710 4.189 4.142
Pm 0.801 1.778 7.825
Pm 1.710 5.575 4.142
Nd 0.000 0.000 0.000
Nd 3.832 2.834 -0.772
Nd 2.048 -1.050 5.955
Nd 1.050 2.048 4.411
Nd 2.834 5.932 0.772
Sm 4.882 0.000 2.591
CELL_PARAMETERS angstrom
-4.882 4.882 5.183
4.882 -4.882 5.183
4.882 4.882 -5.183
```



No. 2
Density functional theory data (PBE) for a relaxed structure of PmNd12Sm3. Values from VASP.

Calculated formation energy, meV/atom: 11
Uncorrected energy, Ry/atom: -0.349
Space-group type: P4/mmm, No. 123

Cell and atoms, written as Quantum ESPRESSO input:
```
&SYSTEM
  ibrav = 0, nat = 16, ntyp = 3
/
ATOMIC_SPECIES
Pm 145.00 Pm.upf
Nd 144.24 Nd.upf
Sm 150.36 Sm.upf
ATOMIC_POSITIONS angstrom
Pm 0.000 0.000 0.000
Nd 0.000 2.598 2.599
Nd 0.000 2.598 7.783
Nd 0.000 2.598 12.966
Nd 0.000 2.598 18.150
Nd 2.598 0.000 2.599
Nd 2.598 0.000 7.783
Nd 2.598 0.000 12.966
Nd 2.598 0.000 18.150
Nd 2.598 2.598 0.000
Nd 2.598 2.598 5.193
Nd 2.598 2.598 10.375
Nd 2.598 2.598 15.556
Sm 0.000 0.000 5.191
Sm 0.000 0.000 10.375
Sm 0.000 0.000 15.558
CELL_PARAMETERS angstrom
5.197 0.000 0.000
0.000 5.197 0.000
0.000 0.000 20.749
```



No. 3
Density functional theory data (PBE) for a relaxed structure of PmNd3Sm8. Values from VASP.

Calculated formation energy, meV/atom: 567
Uncorrected energy, Ry/atom: -0.306
Space-group type: I-42m, No. 121

Cell and atoms, written as Quantum ESPRESSO input:
```
&SYSTEM
  ibrav = 0, nat = 12, ntyp = 3
/
ATOMIC_SPECIES
Pm 145.00 Pm.upf
Nd 144.24 Nd.upf
Sm 150.36 Sm.upf
ATOMIC_POSITIONS angstrom
Pm 0.000 0.000 0.000
Nd 4.413 0.000 2.879
Nd 0.000 0.000 5.758
Nd 0.000 4.413 2.879
Sm 3.319 3.319 -2.888
Sm 2.198 2.198 -0.023
Sm 2.214 -2.214 5.781
Sm 1.093 1.093 2.870
Sm 1.093 -1.093 8.646
Sm 2.214 2.214 5.735
Sm -2.214 2.214 5.781
Sm -1.093 1.093 8.646
CELL_PARAMETERS angstrom
-4.413 4.413 5.758
4.413 -4.413 5.758
4.413 4.413 -5.758
```



No. 4
Density functional theory data (PBE) for a relaxed structure of Pm3Nd2Sm6. Values from VASP.

Calculated formation energy, meV/atom: 258
Uncorrected energy, Ry/atom: -0.329
Space-group type: I4/mmm, No. 139

Cell and atoms, written as Quantum ESPRESSO input:
```
&SYSTEM
  ibrav = 0, nat = 11, ntyp = 3
/
ATOMIC_SPECIES
Pm 145.00 Pm.upf
Nd 144.24 Nd.upf
Sm 150.36 Sm.upf
ATOMIC_POSITIONS angstrom
Pm 0.000 0.000 0.000
Pm 0.000 0.000 6.806
Pm 0.000 0.000 27.034
Nd 0.000 0.000 15.375
Nd 0.000 0.000 18.465
Sm 2.417 0.000 4.090
Sm 0.000 0.000 10.252
Sm 2.417 0.000 12.830
Sm 0.000 2.417 4.090
Sm 0.000 0.000 23.588
Sm 0.000 2.417 12.830
CELL_PARAMETERS angstrom
-2.417 2.417 16.920
2.417 -2.417 16.920
2.417 2.417 -16.920
```



No. 5
Density functional theory data (PBE) for a relaxed structure of Pm4Nd5Sm. Values from VASP.

Calculated formation energy, meV/atom: 233
Uncorrected energy, Ry/atom: -0.332
Space-group type: I4, No. 79

Cell and atoms, written as Quantum ESPRESSO input:
```
&SYSTEM
  ibrav = 0, nat = 10, ntyp = 3
/
ATOMIC_SPECIES
Pm 145.00 Pm.upf
Nd 144.24 Nd.upf
Sm 150.36 Sm.upf
ATOMIC_POSITIONS angstrom
Pm -1.851 5.305 3.135
Pm 7.160 0.004 0.000
Pm 0.004 3.458 0.000
Pm 5.305 1.851 3.135
Nd 0.000 0.000 1.539
Nd 3.303 3.296 0.106
Nd 2.013 -2.006 3.241
Nd 3.296 7.315 0.106
Nd 2.006 2.013 3.241
Sm 0.000 0.000 4.905
CELL_PARAMETERS angstrom
-5.309 5.309 3.135
5.309 -5.309 3.135
5.309 5.309 -3.135
```



No. 6
Density functional theory data (PBE) for a relaxed structure of Pm4Nd5Sm2. Values from VASP.

Calculated formation energy, meV/atom: 132
Uncorrected energy, Ry/atom: -0.340
Space-group type: C2/m, No. 12

Cell and atoms, written as Quantum ESPRESSO input:
```
&SYSTEM
  ibrav = 0, nat = 11, ntyp = 3
/
ATOMIC_SPECIES
Pm 145.00 Pm.upf
Nd 144.24 Nd.upf
Sm 150.36 Sm.upf
ATOMIC_POSITIONS angstrom
Pm 0.728 0.000 3.227
Pm 7.317 0.000 4.713
Pm 16.051 0.000 4.202
Pm 22.640 0.000 5.688
Nd 3.310 0.000 1.033
Nd 4.760 0.000 7.340
Nd 12.221 0.000 0.000
Nd 18.608 0.000 1.575
Nd 20.058 0.000 7.882
Sm 1.429 0.000 6.528
Sm 21.940 0.000 2.387
CELL_PARAMETERS angstrom
12.221 -1.760 0.000
12.221 1.760 0.000
-1.075 0.000 8.915
```